A plane-wave DFT calculation with PBE was carried out for a geometry-optimized Li2FePt structure.

a = 6.8256 Å, b = 6.8256 Å, c = 5.4362 Å
α = 51.11°, β = 51.11°, γ = 90.00°
Last column: nearest neighbours and their distance in Å.
Sites, in units of the cell vectors:
Fe 0.5000 0.5000 0.0000  2 Pt 2.50, 4 Li 2.52
Fe 0.2500 0.7500 0.5000  2 Pt 2.50, 4 Li 2.52
Pt 0.0000 0.0000 0.0000  4 Li 2.47, 2 Fe 2.50
Pt 0.7500 0.2500 0.5000  4 Li 2.47, 2 Fe 2.50
Li 0.6304 0.1250 0.2500  2 Pt 2.47, 2 Li 2.50, 2 Fe 2.52
Li 0.1196 0.6250 0.2500  2 Pt 2.47, 2 Li 2.50, 2 Fe 2.52
Li 0.3750 0.3696 0.7500  2 Pt 2.47, 2 Li 2.50, 2 Fe 2.52
Li 0.8750 0.8804 0.7500  2 Pt 2.47, 2 Li 2.50, 2 Fe 2.52

formation energy from the elements = 0.172 eV per atom
DFT total energy = -17.64 eV per formula unit
volume = 117 Å³ per cell